# 1
Material: PmCd2In
Method: DFT, PBE
State: relaxed

abc: 4.5809 4.5809 4.8548
angles: 90.00 90.00 90.00
With the nearest neighbours (Å) after each atom.
Space group P4/mmm (No. 123)
Symmetry-distinct sites (fractional):
Pm: 0.0000 0.0000 0.0000 [1 per cell]  4 In 3.24, 8 Cd 3.34
Cd: 0.0000 0.5000 0.5000 [2 per cell]  4 Cd 3.24, 4 In 3.34, 4 Pm 3.34
In: 0.5000 0.5000 0.0000 [1 per cell]  4 Pm 3.24, 8 Cd 3.34

Calculated values
* excess energy over the best structure of this formula in the dataset: 0.00 eV per formula unit
* energy of formation: -0.347 eV/atom


# 2
Material: HfRu3F
Method: DFT, PBE
State: relaxed

abc: 4.8591 4.8591 4.8591
angles: 90.00 90.00 90.00
With the nearest neighbours (Å) after each atom.
Space group Pm-3m (No. 221)
Symmetry-distinct sites (fractional):
Hf: 0.0000 0.0000 0.0000 [1 per cell]  6 Ru 2.43
Ru: 0.0000 0.0000 0.5000 [3 per cell]  2 Hf 2.43
F: 0.5000 0.5000 0.5000 [1 per cell]  12 Ru 3.44

Calculated values
* excess energy over the best structure of this formula in the dataset: 6.13 eV per formula unit
* formation energy (no corrections): 1.62 eV/atom


# 3
Material: ScSi2Ru
Method: DFT, PBE
State: relaxed

abc: 5.4131 7.1572 3.0937
angles: 90.00 90.00 90.00
With the nearest neighbours (Å) after each atom.
Space group Cmmm (No. 65)
Symmetry-distinct sites (fractional):
Sc: 0.0000 0.0000 0.0000 [2 per cell]  2 Ru 2.71, 8 Si 2.73
Si: 0.2500 0.2500 0.5000 [4 per cell]  2 Si 2.71, 4 Ru 2.73, 4 Sc 2.73
Ru: 0.0000 0.5000 0.0000 [2 per cell]  2 Sc 2.71, 8 Si 2.73

Calculated values
* formation energy (no corrections): -0.36 eV/atom